! AlWI2O (PBE with a Hubbard U, relaxed); values from VASP
! symmetry	P4/mmm, No. 123
! calculated total energy	-19.9	eV/f.u.
&SYSTEM
  ibrav = 0, nat = 5, ntyp = 4
/
ATOMIC_SPECIES
Al 26.98 Al.upf
W 183.84 W.upf
I 126.90 I.upf
O 16.00 O.upf
ATOMIC_POSITIONS crystal
Al 0.000 0.000 0.000
W 0.500 0.500 0.500
I 0.000 0.500 0.000
I 0.500 0.000 0.000
O 0.000 0.000 0.500
CELL_PARAMETERS angstrom
5.861 0.000 0.000
0.000 5.861 0.000
0.000 0.000 3.512